Record 1
A plane-wave DFT calculation with PBE-GGA was carried out for an optimized crystal structure of ZnHgAu2.

Calculated values
* space group: No. 12
* crystal system: monoclinic

Unit cell a=5.1945 b=5.1945 c=4.9994 alpha=107.96 beta=107.96 gamma=35.24
Last column: nearest neighbours and their distance in Å.
Positions (direct):
Zn (0.0000, 0.0000, 0.0000)  4 Au 2.67, 4 Hg 2.95
Hg (0.5000, 0.5000, 0.5000)  4 Zn 2.95, 6 Au 2.97-3.05, 2 Hg 3.14
Au (0.2737, 0.2737, 0.7706)  2 Zn 2.67, 2 Au 2.94, 1 Hg 2.97
Au (0.7263, 0.7263, 0.2294)  2 Zn 2.67, 2 Au 2.94, 1 Hg 2.97

=====

Record 2
A plane-wave DFT calculation with PBE-GGA was carried out for an optimized crystal structure of ZnHgAu2.

Calculated values
* space group: No. 166
* crystal system: trigonal

Unit cell a=9.3803 b=9.3803 c=9.3803 alpha=18.72 beta=18.72 gamma=18.72
Last column: nearest neighbours and their distance in Å.
Positions (direct):
Zn (0.0000, 0.0000, 0.0000)  6 Au 2.70
Hg (0.5000, 0.5000, 0.5000)  6 Hg 3.05, 6 Au 3.10
Au (0.2592, 0.2592, 0.2592)  3 Zn 2.70
Au (0.7408, 0.7408, 0.7408)  3 Zn 2.70

=====

Record 3
A plane-wave DFT calculation with PBE-GGA was carried out for an optimized crystal structure of ZnHgAu2.

Calculated values
* space group: No. 119
* crystal system: tetragonal

Unit cell a=5.2276 b=5.2276 c=5.2276 alpha=133.83 beta=133.83 gamma=67.35
Last column: nearest neighbours and their distance in Å.
Positions (direct):
Zn (0.0000, 0.0000, 0.0000)  8 Au 2.90-2.99, 4 Hg 2.99
Hg (0.7500, 0.2500, 0.5000)  8 Au 2.90-2.99, 4 Zn 2.99
Au (0.2500, 0.7500, 0.5000)  4 Hg 2.90, 4 Zn 2.99, 4 Au 2.99
Au (0.5000, 0.5000, 0.0000)  4 Zn 2.90, 4 Hg 2.99, 4 Au 2.99

=====

Record 4
A plane-wave DFT calculation with PBE-GGA was carried out for an optimized crystal structure of Zn2HgAu.

Calculated values
* space group: No. 99
* crystal system: tetragonal

Unit cell a=3.5934 b=3.5934 c=5.6045 alpha=90.00 beta=90.00 gamma=90.00
Last column: nearest neighbours and their distance in Å.
Positions (direct):
Zn (0.0000, 0.0000, 0.0000)  1 Au 2.61, 4 Hg 2.83
Zn (0.5000, 0.5000, 0.2684)  2 Hg 2.76-2.84, 4 Au 2.77, 4 Zn 2.95
Hg (0.5000, 0.5000, 0.7759)  6 Zn 2.76-2.84, 4 Au 3.08
Au (0.0000, 0.0000, 0.4654)  5 Zn 2.61-2.77

=====

Number 1: DOS(E_F) 0.5 states/eV/cell, energy of formation -0.02 eV/atom. Number 2: DOS(E_F) 1.3 states/eV/cell, energy of formation -0.03 eV/atom. Number 3: DOS(E_F) 0.7 states/eV/cell, energy of formation -0.01 eV/atom. Number 4: DOS(E_F) 1.0 states/eV/cell, energy of formation -0.02 eV/atom.